Compound: AsPbW4C2
Source: the Open Quantum Materials Database
Functional: PBE
Structure: relaxed

Unit cell a=3.257 b=3.257 c=12.889 alpha=90.00 beta=90.00 gamma=120.00
Element x y z (fractional)
As 0.667 0.333 0.500
C 0.333 0.667 0.265
C 0.333 0.667 0.735
Pb 0.000 0.000 0.000
W 0.667 0.333 0.189
W 0.000 0.000 0.354
W 0.000 0.000 0.646
W 0.667 0.333 0.811

Computed properties:
Total energy ... -9.487 eV per atom

Compound: Cs2YTcSe6
Source: the Open Quantum Materials Database
Functional: PBE
Structure: relaxed

Unit cell a=7.498 b=7.498 c=7.498 alpha=60.00 beta=60.00 gamma=60.00
Last column: magnetic moment on the atom in μB.
Element x y z (fractional)
Cs 0.250 0.250 0.250  0.00
Cs 0.750 0.750 0.750  0.00
Se 0.763 0.237 0.237  -0.01
Se 0.237 0.763 0.237  0.00
Se 0.763 0.763 0.237  -0.02
Se 0.237 0.237 0.763  -0.02
Se 0.763 0.237 0.763  0.00
Se 0.237 0.763 0.763  -0.01
Tc 0.000 0.000 0.000  0.50
Y 0.500 0.500 0.500  0.00

Computed properties:
Total energy ... -4.659 eV per atom

Compound: GdFeCuSi2
Source: the Open Quantum Materials Database
Functional: PBE
Structure: relaxed

Unit cell a=5.648 b=5.648 c=5.648 alpha=138.52 beta=138.52 gamma=60.10
Last column: magnetic moment on the atom in μB.
Element x y z (fractional)
Cu 0.000 0.000 0.000  0.04
Fe 0.500 0.500 0.000  1.64
Gd 0.250 0.750 0.500  0.02
Si 0.626 0.126 0.500  -0.02
Si 0.874 0.374 0.500  -0.02

Computed properties:
Total energy ... -6.084 eV per atom